Record 1
Compound: Co2POs
Source: Alexandria via LeMat-Bulk
Functional: SCAN
Structure: PBEsol geometry

It has space group I4/mmm (No. 139), with a = 3.497 Å, b = 3.497 Å, c = 7.301 Å, α = 90.00°, β = 90.00° and γ = 90.00°. The asymmetric unit holds Co at (0.000, 0.500, 0.250), P at (0.000, 0.000, 0.000) and Os at (0.000, 0.000, 0.500).

The value obtained for the final energy is -28.962 eV per atom. The energy relative to the elements is 6.0 kcal/mol of atoms. As for the density of states at the Fermi level: 3.1 states/eV/f.u.

---

Record 2
Compound: CoP2Os
Source: Alexandria via LeMat-Bulk
Functional: SCAN
Structure: PBEsol geometry

It has space group P4mm (No. 99), with a = 3.075 Å, b = 3.075 Å, c = 5.132 Å, α = 90.00°, β = 90.00° and γ = 90.00°. The asymmetric unit holds Co at (0.000, 0.000, 0.000), P at (0.000, 0.000, 0.567), P at (0.500, 0.500, 0.901) and Os at (0.500, 0.500, 0.369).

The value obtained for the final energy is -27.578 eV per atom. The energy relative to the elements is -1.9 kcal/mol of atoms. As for the density of states at the Fermi level: 1.8 states/eV/f.u.

---

> The lowest density of states at the Fermi level belongs to which entry?

CoP2Os